P:
This record from Alexandria describes a PBEsol-optimized structure of SrTl2Hg2. The functional is meta-GGA SCAN.

```
SrTl2Hg2
1.0
-3.8995 -0.5602 -0.8243
2.0727 -4.4879 -6.7554
0.0211 -6.9695 4.6366
Hg Tl Sr
4 4 2
Direct
0.0000 0.3722 0.8722
0.0000 0.6278 0.1278
0.0000 0.1278 0.3722
0.0000 0.8722 0.6278
0.5000 0.8304 0.3304
0.5000 0.6696 0.8304
0.5000 0.1696 0.6696
0.5000 0.3304 0.1696
0.0000 0.5000 0.5000
0.0000 0.0000 0.0000
```



Q:
This record from Alexandria describes a PBEsol-optimized structure of SrTl2Hg2. The functional is meta-GGA SCAN.

```
SrTl2Hg2
1.0
-3.2273 -0.7685 3.5217
7.0349 -6.2089 5.0918
3.7107 8.5171 5.2590
Tl Hg Sr
8 8 4
Direct
0.0000 0.6459 0.0217
0.0000 0.9783 0.3541
0.5000 0.5217 0.8541
0.5000 0.4783 0.1459
0.0000 0.0217 0.6459
0.5000 0.8541 0.5217
0.5000 0.1459 0.4783
0.0000 0.3541 0.9783
0.5000 0.4055 0.5945
0.5000 0.8045 0.8045
0.0000 0.3045 0.6955
0.5000 0.5945 0.4055
0.0000 0.6955 0.3045
0.5000 0.1955 0.1955
0.0000 0.9055 0.9055
0.0000 0.0945 0.0945
0.0000 0.6419 0.6419
0.5000 0.8581 0.1419
0.0000 0.3581 0.3581
0.5000 0.1419 0.8581
```



Relative energies, in meV/atom, with the most stable structure set to zero: P 100; Q 0.



P:
This record from Alexandria describes a PBEsol-optimized structure of Sr2ZnHg. The functional is meta-GGA SCAN.

```
Sr2ZnHg
1.0
-0.7988 -4.2918 1.2470
4.2750 1.3883 -0.7484
-1.9318 2.5150 7.4183
Hg Zn Sr
1 1 2
Direct
0.5000 0.0000 0.0000
0.0000 0.0000 0.5000
0.7480 0.4961 0.7441
0.2520 0.5039 0.2559
```



Q:
This record from Alexandria describes a PBEsol-optimized structure of Sr2ZnHg. The functional is meta-GGA SCAN.

```
Sr2ZnHg
1.0
3.8772 0.0000 0.0000
0.0000 5.4781 0.0000
0.0000 0.0000 5.4781
Sr Zn Hg
2 1 1
Direct
0.0000 0.0000 0.5000
0.0000 0.5000 0.0000
0.5000 0.5000 0.5000
0.5000 0.0000 0.0000
```



Relative energies, in meV/atom, with the most stable structure set to zero: P 135; Q 0.



P:
This record from Alexandria describes a PBEsol-optimized structure of TaTl2Hg. The functional is meta-GGA SCAN.

```
TaTl2Hg
1.0
-1.5891 3.6684 -1.2829
1.0204 -0.9435 -3.9620
-4.0222 -3.4426 2.0087
Tl Hg Ta
2 1 1
Direct
0.7500 0.2500 0.5000
0.2500 0.7500 0.5000
0.5000 0.5000 0.0000
0.0000 0.0000 0.0000
```



Q:
This record from Alexandria describes a PBEsol-optimized structure of TaTl2Hg. The functional is meta-GGA SCAN.

```
TaTl2Hg
1.0
3.0132 0.0000 0.0000
0.0000 5.3524 0.0000
0.0000 0.0000 5.4556
Ta Hg Tl
1 1 2
Direct
0.0000 0.5000 0.5000
0.5000 0.5000 0.0000
0.5000 0.0000 0.5000
0.0000 0.0000 0.0000
```



Relative energies, in meV/atom, with the most stable structure set to zero: P 117; Q 0.



P:
This record from Alexandria describes a PBEsol-optimized structure of YTaHg2. The functional is meta-GGA SCAN.

```
YTaHg2
1.0
3.2530 0.0000 0.0000
1.6265 2.8172 0.0000
1.6265 0.9391 9.5985
Ta Y Hg
1 1 2
Direct
0.4973 0.4973 0.5081
0.2478 0.2478 0.2565
0.7523 0.7523 0.7430
0.0025 0.0025 0.9924
```



Q:
This record from Alexandria describes a PBEsol-optimized structure of YTaHg2. The functional is meta-GGA SCAN.

```
YTaHg2
1.0
3.1994 0.0000 0.0000
0.0000 5.1531 0.0000
-1.5997 -2.5765 5.1298
Hg Ta Y
2 1 1
Direct
0.7519 0.2519 0.5038
0.0098 0.0098 0.0195
0.4912 0.4912 0.9825
0.2471 0.7471 0.4942
```



Relative energies, in meV/atom, with the most stable structure set to zero: P 72; Q 0.



P:
This record from Alexandria describes a PBEsol-optimized structure of Tc2HgTe. The functional is meta-GGA SCAN.

```
Tc2HgTe
1.0
-1.1172 0.4104 -2.7100
-1.6086 -2.1318 -1.2761
-9.2120 3.2921 2.6800
Tc Te Hg
2 1 1
Direct
0.0112 0.0112 0.9663
0.7414 0.7414 0.7757
0.4834 0.4834 0.5497
0.2639 0.2639 0.2083
```



Q:
This record from Alexandria describes a PBEsol-optimized structure of Tc2HgTe. The functional is meta-GGA SCAN.

```
Tc2HgTe
1.0
-1.4816 -4.0555 -1.6870
2.9363 -3.5677 -0.3710
-0.4332 -3.6604 2.8111
Te Tc Hg
1 2 1
Direct
0.2500 0.2500 0.2500
0.7500 0.7500 0.7500
0.0000 0.0000 0.0000
0.5000 0.5000 0.5000
```



R:
This record from Alexandria describes a PBEsol-optimized structure of Tc2HgTe. The functional is meta-GGA SCAN.

```
Tc2HgTe
1.0
-2.1808 -0.9738 1.9575
0.7602 -1.8154 2.3795
0.7856 5.8698 6.2311
Tc Te Hg
2 1 1
Direct
0.7556 0.7556 0.7333
0.2444 0.2444 0.2667
0.5000 0.5000 0.5000
0.0000 0.0000 0.0000
```



Relative energies, in meV/atom, with the most stable structure set to zero: P 0; Q 451; R 136.



P:
This record from Alexandria describes a PBEsol-optimized structure of TlTcHg2. The functional is meta-GGA SCAN.

```
TlTcHg2
1.0
-0.8525 2.2314 1.9043
-0.1662 -0.5352 3.0031
9.3101 3.3698 2.6697
Tl Hg Tc
1 2 1
Direct
0.0000 0.0000 0.0000
0.7602 0.7602 0.7193
0.2398 0.2398 0.2807
0.5000 0.5000 0.5000
```



Q:
This record from Alexandria describes a PBEsol-optimized structure of TlTcHg2. The functional is meta-GGA SCAN.

```
TlTcHg2
1.0
-1.4888 2.4822 -0.4345
-1.6061 -1.7741 -4.6318
-4.1915 -2.1175 2.2644
Hg Tc Tl
2 1 1
Direct
0.0000 0.0000 0.5000
0.0000 0.5000 0.0000
0.5000 0.5000 0.5000
0.5000 0.0000 0.0000
```



Relative energies, in meV/atom, with the most stable structure set to zero: P 0; Q 138.



P:
This record from Alexandria describes a PBEsol-optimized structure of Tl2TcHg. The functional is meta-GGA SCAN.

```
Tl2TcHg
1.0
-1.6763 -3.0494 -0.7828
2.4700 -0.4572 -3.5081
4.5274 -1.2583 3.3518
Tc Hg Tl
1 1 2
Direct
0.4585 0.5000 0.7924
0.3030 0.0000 0.4806
0.7150 0.5000 0.3049
0.0236 0.0000 0.9220
```



Q:
This record from Alexandria describes a PBEsol-optimized structure of Tl2TcHg. The functional is meta-GGA SCAN.

```
Tl2TcHg
1.0
-4.0860 -2.7764 0.4582
-1.4400 -1.5743 4.4791
-4.0681 1.9023 2.1085
Tc Tl Hg
1 2 1
Direct
0.2500 0.2500 0.2500
0.7500 0.7500 0.7500
0.0000 0.0000 0.0000
0.5000 0.5000 0.5000
```



Relative energies, in meV/atom, with the most stable structure set to zero: P 0; Q 220.



P:
This record from Alexandria describes a PBEsol-optimized structure of TcHg2W. The functional is meta-GGA SCAN.

```
TcHg2W
1.0
3.1412 0.0000 0.0000
0.0000 4.8190 0.0000
-1.5706 -2.4095 4.6958
Hg W Tc
2 1 1
Direct
0.2386 0.7386 0.4773
0.0107 0.0107 0.0213
0.7777 0.2777 0.5553
0.4730 0.4730 0.9461
```



Q:
This record from Alexandria describes a PBEsol-optimized structure of TcHg2W. The functional is meta-GGA SCAN.

```
TcHg2W
1.0
2.9248 0.0000 0.0000
0.0000 4.9320 -0.0306
-1.4624 -0.8470 4.7270
Hg Tc W
2 1 1
Direct
0.7484 0.7480 0.4969
0.2516 0.2520 0.5031
0.0000 0.5000 0.0000
0.5000 0.0000 0.0000
```



Relative energies, in meV/atom, with the most stable structure set to zero: P 0; Q 119.